No. 1
Computed, not measured: a relaxed structure of PmNdMgGa at the GGA-PBE level of DFT.

Summary:
**Space group**: F-43m
**Total DFT energy (no corrections)**: -3.8712 eV/atom
**Energy of formation from the pure elements**: -0.34 eV/atom

a b c (Å): 5.3163 5.3163 5.3163
angles (deg): 60.00 60.00 60.00
Last column: nearest neighbours and their distance in Å.
Fractional coordinates of all 4 atoms:
Pm 0.0000 0.0000 0.0000  4 Ga 3.26, 4 Mg 3.26
Nd 0.5000 0.5000 0.5000  4 Mg 3.26, 4 Ga 3.26
Mg 0.2500 0.2500 0.2500  4 Nd 3.26, 4 Pm 3.26
Ga 0.7500 0.7500 0.7500  4 Nd 3.26, 4 Pm 3.26



No. 2
Computed, not measured: a relaxed structure of Cd2GePd2 at the GGA-PBE level of DFT.

Summary:
**Space group**: I4/mmm
**Total DFT energy (no corrections)**: -3.3322 eV/atom
**Energy of formation from the pure elements**: 0.03 eV/atom

a b c (Å): 7.3195 7.3195 7.3195
angles (deg): 149.81 149.81 43.22
Last column: nearest neighbours and their distance in Å.
Fractional coordinates of all 5 atoms:
Cd 0.2500 0.7500 0.5000  4 Cd 2.70, 4 Pd 2.83
Cd 0.7500 0.2500 0.5000  4 Cd 2.70, 4 Pd 2.83
Ge 0.0000 0.0000 0.0000  8 Pd 3.00
Pd 0.4041 0.4041 0.0000  1 Pd 2.61, 4 Cd 2.83
Pd 0.5959 0.5959 0.0000  1 Pd 2.61, 4 Cd 2.83